{
  "formula": "AsWI2F",
  "functional": "PBE+U",
  "state": "relaxed",
  "lattice": [[-1.8365, -5.1455, 1.2756], [1.7277, -1.7747, -4.6714], [4.9742, -1.2058, 2.2978]],
  "species": ["I", "I", "W", "F", "As"],
  "frac_coords": [[0.0000, 0.0000, 0.5000], [0.5000, 0.0000, 0.0000], [0.0000, 0.5000, 0.0000], [0.5000, 0.5000, 0.5000], [0.0000, 0.0000, 0.0000]],
  "sg": "No. 123",
  "final_energy_ev_per_atom": -2.848
}